Entry 1:
The following is a PBE calculation of an optimized crystal structure of CoSe2Br, from the Alexandria database.

POSCAR file:
```
CoSe2Br
1.0
6.154 0.000 0.000
-0.241 6.386 0.000
-2.670 -3.227 4.944
Co Se Br
2 4 2
direct
0.000 0.000 0.000
0.413 0.786 0.586
0.339 0.093 0.936
0.643 0.879 0.027
0.740 0.105 0.701
0.752 0.693 0.515
0.139 0.715 0.139
0.185 0.380 0.450
```

- Fermi-level density of states (states/eV per atom) = 0.00
- SG = No. 1
- uncorrected formation energy (eV per atom) = -0.17
- crystal system = triclinic

Entry 2:
The following is a PBE calculation of an optimized crystal structure of HoTm5Cu6, from the Alexandria database.

POSCAR file:
```
HoTm5Cu6
1.0
2.429 -7.286 0.000
2.429 7.286 0.000
0.000 0.000 6.794
Ho Tm Cu
1 5 6
direct
0.000 0.000 0.000
0.000 0.000 0.500
0.333 0.667 0.000
0.334 0.666 0.500
0.666 0.334 0.500
0.667 0.333 0.000
0.168 0.832 0.251
0.168 0.832 0.749
0.500 0.500 0.252
0.500 0.500 0.748
0.832 0.168 0.251
0.832 0.168 0.749
```

- Fermi-level density of states (states/eV per atom) = 0.44
- SG = No. 65
- energy relative to the elements (eV per atom) = -0.291
- crystal system = orthorhombic

Entry 3:
The following is a PBE calculation of an optimized crystal structure of VGaNi2, from the Alexandria database.

POSCAR file:
```
VGaNi2
1.0
-3.260 3.260 2.558
3.260 -3.260 2.558
3.260 3.260 -2.558
V Ga Ni
2 2 4
direct
0.000 0.000 0.000
0.750 0.250 0.500
0.250 0.750 0.500
0.500 0.500 0.000
0.118 0.625 0.993
0.375 0.368 0.493
0.632 0.125 0.007
0.875 0.882 0.507
```

- Fermi-level density of states (states/eV per atom) = 1.16
- SG = No. 122
- energy relative to the elements (eV per atom) = 0.203
- crystal system = tetragonal

Entry 4:
The following is a PBE calculation of an optimized crystal structure of Th4Bi2C, from the Alexandria database.

POSCAR file:
```
Th4Bi2C
1.0
7.630 0.000 0.000
0.000 6.766 0.000
-2.285 0.000 8.186
Th Bi C
8 4 2
direct
0.004 0.014 0.260
0.004 0.486 0.260
0.367 0.250 0.077
0.379 0.250 0.614
0.621 0.750 0.386
0.633 0.750 0.923
0.996 0.514 0.740
0.996 0.986 0.740
0.262 0.750 0.064
0.285 0.750 0.569
0.715 0.250 0.431
0.738 0.250 0.936
0.202 0.250 0.803
0.798 0.750 0.197
```

- Fermi-level density of states (states/eV per atom) = 1.03
- SG = No. 11
- energy relative to the elements (eV per atom) = -0.346
- crystal system = monoclinic

Entry 5:
The following is a PBE calculation of an optimized crystal structure of HoPaTe2O8, from the Alexandria database.

POSCAR file:
```
HoPaTe2O8
1.0
-3.606 3.606 3.607
3.606 -3.606 3.607
3.606 3.606 -3.607
Ho Pa Te O
1 1 2 8
direct
0.000 0.000 0.000
0.250 0.750 0.500
0.500 0.500 0.000
0.750 0.250 0.500
0.295 0.101 0.806
0.295 0.489 0.194
0.350 0.036 0.314
0.511 0.705 0.806
0.722 0.036 0.686
0.899 0.705 0.194
0.964 0.278 0.314
0.964 0.650 0.686
```

- SG = No. 119
- uncorrected formation energy (eV per atom) = -2.09
- crystal system = tetragonal

Entry 6:
The following is a PBE calculation of an optimized crystal structure of HfBe17Os, from the Alexandria database.

POSCAR file:
```
HfBe17Os
1.0
3.680 2.124 3.561
-3.680 2.124 3.561
0.000 -4.249 3.561
Hf Be Os
1 17 1
direct
0.000 0.000 0.000
0.039 0.348 0.635
0.039 0.635 0.348
0.200 0.686 0.686
0.246 0.246 0.246
0.334 0.334 0.848
0.334 0.848 0.334
0.348 0.039 0.635
0.348 0.635 0.039
0.444 0.444 0.444
0.509 0.988 0.988
0.635 0.039 0.348
0.635 0.348 0.039
0.686 0.200 0.686
0.686 0.686 0.200
0.848 0.334 0.334
0.988 0.509 0.988
0.988 0.988 0.509
0.675 0.675 0.675
```

- Fermi-level density of states (states/eV per atom) = 0.18
- SG = No. 160
- energy relative to the elements (eV per atom) = -0.168
- crystal system = trigonal

Entry 7:
The following is a PBE calculation of an optimized crystal structure of HfCuPd5, from the Alexandria database.

POSCAR file:
```
HfCuPd5
1.0
4.140 0.000 0.000
0.000 4.140 0.000
0.000 0.000 6.709
Hf Cu Pd
1 1 5
direct
0.000 0.000 0.000
0.500 0.500 0.500
0.000 0.500 0.278
0.000 0.500 0.722
0.500 0.000 0.278
0.500 0.000 0.722
0.500 0.500 0.000
```

- Fermi-level density of states (states/eV per atom) = 0.90
- SG = No. 123
- energy relative to the elements (eV per atom) = -0.426
- crystal system = tetragonal

Entry 8:
The following is a PBE calculation of an optimized crystal structure of Nd2P2AuO, from the Alexandria database.

POSCAR file:
```
Nd2P2AuO
1.0
7.625 -2.119 0.000
7.625 2.119 0.000
-6.491 0.000 7.566
Nd P Au O
4 4 2 2
direct
0.133 0.133 0.453
0.174 0.174 0.116
0.826 0.826 0.884
0.867 0.867 0.547
0.147 0.147 0.765
0.450 0.450 0.855
0.550 0.550 0.145
0.853 0.853 0.235
0.413 0.413 0.199
0.587 0.587 0.801
0.279 0.279 0.427
0.721 0.721 0.573
```

- Fermi-level density of states (states/eV per atom) = 0.12
- SG = No. 12
- uncorrected formation energy (eV per atom) = -1.66
- crystal system = monoclinic

Entry 9:
The following is a PBE calculation of an optimized crystal structure of Be2ZnIr2, from the Alexandria database.

POSCAR file:
```
Be2ZnIr2
1.0
-1.516 1.516 6.628
1.516 -1.516 6.628
1.516 1.516 -6.628
Be Zn Ir
2 1 2
direct
0.250 0.750 0.500
0.750 0.250 0.500
0.000 0.000 0.000
0.381 0.381 0.000
0.619 0.619 0.000
```

- Fermi-level density of states (states/eV per atom) = 0.59
- SG = No. 139
- energy relative to the elements (eV per atom) = -0.215
- crystal system = tetragonal

Entry 10:
The following is a PBE calculation of an optimized crystal structure of In3Hg7Pb, from the Alexandria database.

POSCAR file:
```
In3Hg7Pb
1.0
5.186 -5.607 0.000
5.186 5.607 0.000
-2.728 0.000 5.410
In Hg Pb
3 7 1
direct
0.000 0.000 0.000
0.235 0.765 0.500
0.765 0.235 0.500
0.063 0.591 0.834
0.180 0.180 0.583
0.409 0.937 0.166
0.500 0.500 0.500
0.591 0.063 0.834
0.820 0.820 0.417
0.937 0.409 0.166
0.500 0.500 0.000
```

- Fermi-level density of states (states/eV per atom) = 0.39
- SG = No. 12
- energy relative to the elements (eV per atom) = 0.050
- crystal system = monoclinic

Entry 11:
The following is a PBE calculation of an optimized crystal structure of CaP2H4O8, from the Alexandria database.

POSCAR file:
```
CaP2H4O8
1.0
5.567 0.000 0.000
-0.519 7.832 0.000
-2.635 -3.253 7.261
Ca P H O
2 4 8 16
direct
0.190 0.318 0.418
0.810 0.682 0.582
0.174 0.730 0.314
0.477 0.744 0.843
0.523 0.256 0.157
0.826 0.270 0.686
0.000 0.500 0.000
0.153 0.151 0.783
0.243 0.983 0.003
0.406 0.677 0.063
0.500 0.000 0.500
0.594 0.323 0.937
0.757 0.017 0.997
0.847 0.849 0.217
0.023 0.898 0.315
0.048 0.602 0.377
0.174 0.627 0.117
0.225 0.815 0.818
0.285 0.104 0.119
0.442 0.286 0.970
0.456 0.832 0.446
0.483 0.577 0.681
0.517 0.423 0.319
0.544 0.168 0.554
0.558 0.714 0.030
0.715 0.896 0.881
0.775 0.185 0.182
0.826 0.373 0.883
0.952 0.398 0.623
0.977 0.102 0.685
```

- uncorrected energy (hartree per atom) = -0.2332
- Fermi-level density of states (states/eV per atom) = 0.00
- SG = No. 2
- crystal system = triclinic

Entry 12:
The following is a PBE calculation of an optimized crystal structure of PmPrEuGd, from the Alexandria database.

POSCAR file:
```
PmPrEuGd
1.0
0.000 4.141 4.141
4.141 0.000 4.141
4.141 4.141 0.000
Pm Pr Eu Gd
1 1 1 1
direct
0.000 0.000 0.000
0.500 0.500 0.500
0.750 0.750 0.750
0.250 0.250 0.250
```

- Fermi-level density of states (states/eV per atom) = 1.56
- SG = No. 216
- energy relative to the elements (eV per atom) = 0.116
- crystal system = cubic

Entry 13:
The following is a PBE calculation of an optimized crystal structure of PrGdGa2, from the Alexandria database.

POSCAR file:
```
PrGdGa2
1.0
1.887 1.089 8.867
-1.887 1.089 8.867
0.000 -2.178 8.867
Pr Gd Ga
1 1 2
direct
0.000 0.000 0.000
0.500 0.500 0.500
0.248 0.248 0.248
0.752 0.752 0.752
```

- Fermi-level density of states (states/eV per atom) = 0.72
- SG = No. 166
- energy relative to the elements (eV per atom) = -0.371
- crystal system = trigonal

Entry 14:
The following is a PBE calculation of an optimized crystal structure of PrPu2F11, from the Alexandria database.

POSCAR file:
```
PrPu2F11
1.0
-4.239 5.193 5.681
4.239 -5.193 5.681
4.239 5.193 -5.681
Pr Pu F
2 4 22
direct
0.250 0.250 0.000
0.750 0.750 0.000
0.180 0.652 0.831
0.320 0.152 0.472
0.680 0.848 0.528
0.820 0.348 0.169
0.000 0.500 0.500
0.045 0.949 0.272
0.065 0.357 0.156
0.177 0.449 0.904
0.202 0.910 0.844
0.215 0.366 0.581
0.285 0.866 0.152
0.298 0.143 0.708
0.323 0.227 0.272
0.435 0.590 0.292
0.455 0.727 0.904
0.500 0.000 0.500
0.545 0.273 0.096
0.565 0.410 0.708
0.677 0.773 0.728
0.702 0.857 0.292
0.715 0.134 0.848
0.785 0.634 0.419
0.798 0.090 0.156
0.823 0.551 0.096
0.935 0.643 0.844
0.955 0.051 0.728
```

- Fermi-level density of states (states/eV per atom) = 1.23
- SG = No. 72
- uncorrected formation energy (eV per atom) = -3.62
- crystal system = orthorhombic

Entry 15:
The following is a PBE calculation of an optimized crystal structure of CsNd2Te3, from the Alexandria database.

POSCAR file:
```
CsNd2Te3
1.0
8.357 0.000 0.000
0.000 4.548 0.000
-2.878 0.000 11.989
Cs Nd Te
2 4 6
direct
0.029 0.250 0.344
0.971 0.750 0.656
0.255 0.250 0.993
0.499 0.750 0.313
0.501 0.250 0.687
0.745 0.750 0.007
0.142 0.750 0.140
0.322 0.750 0.522
0.386 0.750 0.845
0.614 0.250 0.155
0.678 0.250 0.478
0.858 0.250 0.860
```

- Fermi-level density of states (states/eV per atom) = 0.44
- SG = No. 11
- uncorrected formation energy (eV per atom) = -1.32
- crystal system = monoclinic

Entry 16:
The following is a PBE calculation of an optimized crystal structure of Li5Mg3, from the Alexandria database.

POSCAR file:
```
Li5Mg3
1.0
3.950 -4.460 0.000
3.950 4.460 0.000
0.000 0.000 4.631
Li Mg
5 3
direct
0.000 0.000 0.000
0.000 0.500 0.000
0.245 0.245 0.500
0.500 0.000 0.000
0.755 0.755 0.500
0.255 0.745 0.500
0.500 0.500 0.000
0.745 0.255 0.500
```

- Fermi-level density of states (states/eV per atom) = 0.33
- SG = No. 65
- energy relative to the elements (eV per atom) = -0.040
- crystal system = orthorhombic

Entry 17:
The following is a PBE calculation of an optimized crystal structure of Tm6CoSn2, from the Alexandria database.

POSCAR file:
```
Tm6CoSn2
1.0
6.579 0.000 0.000
0.000 6.579 0.000
0.000 0.000 13.539
Tm Co Sn
12 2 4
direct
0.184 0.184 0.139
0.184 0.184 0.861
0.217 0.217 0.500
0.283 0.717 0.000
0.316 0.684 0.361
0.316 0.684 0.639
0.684 0.316 0.361
0.684 0.316 0.639
0.717 0.283 0.000
0.783 0.783 0.500
0.816 0.816 0.139
0.816 0.816 0.861
0.000 0.000 0.000
0.500 0.500 0.500
0.000 0.000 0.327
0.000 0.000 0.673
0.500 0.500 0.173
0.500 0.500 0.827
```

- Fermi-level density of states (states/eV per atom) = 1.14
- SG = No. 136
- energy relative to the elements (eV per atom) = -0.104
- crystal system = tetragonal

Entry 18:
The following is a PBE calculation of an optimized crystal structure of ZnInAs2, from the Alexandria database.

POSCAR file:
```
ZnInAs2
1.0
1.874 -2.390 0.000
1.874 2.390 0.000
0.000 0.000 9.301
Zn In As
1 1 2
direct
0.000 0.000 0.000
0.000 0.000 0.500
0.500 0.500 0.207
0.500 0.500 0.793
```

- Fermi-level density of states (states/eV per atom) = 0.28
- SG = No. 65
- energy relative to the elements (eV per atom) = 0.189
- crystal system = orthorhombic

Entry 19:
The following is a PBE calculation of an optimized crystal structure of Nb2ReSI, from the Alexandria database.

POSCAR file:
```
Nb2ReSI
1.0
4.535 0.000 0.000
0.000 4.535 0.000
0.000 0.000 5.243
Nb Re S I
2 1 1 1
direct
0.000 0.500 0.000
0.500 0.000 0.000
0.000 0.000 0.500
0.500 0.500 0.000
0.500 0.500 0.500
```

- Fermi-level density of states (states/eV per atom) = 1.17
- SG = No. 123
- uncorrected formation energy (eV per atom) = 1.46
- crystal system = tetragonal

Entry 20:
The following is a PBE calculation of an optimized crystal structure of Cr2Sb2Pb, from the Alexandria database.

POSCAR file:
```
Cr2Sb2Pb
1.0
8.112 0.000 0.000
0.000 8.112 0.000
0.000 0.000 3.435
Cr Sb Pb
4 4 2
direct
0.130 0.370 0.000
0.370 0.870 0.000
0.630 0.130 0.000
0.870 0.630 0.000
0.162 0.662 0.500
0.338 0.162 0.500
0.662 0.838 0.500
0.838 0.338 0.500
0.000 0.000 0.000
0.500 0.500 0.000
```

- Fermi-level density of states (states/eV per atom) = 0.67
- SG = No. 127
- uncorrected formation energy (eV per atom) = 0.33
- crystal system = tetragonal